Compound: CoMoP2
Source: the Alexandria database
Functional: PBE
Structure: optimized geometry

a = 4.204 Å, b = 4.204 Å, c = 4.204 Å
α = 60.00°, β = 60.00°, γ = 60.00°
Last column: magnetic moment on the atom in μB.
Fractional positions:
P: 0.250 0.250 0.250  0.03
P: 0.000 0.000 0.000  0.02
Co: 0.500 0.500 0.500  0.54
Mo: 0.750 0.750 0.750  0.25

Computed properties:
total magnetic moment = 0.881 Bohr magnetons per cell
energy = -6.84 eV/atom
crystal system = cubic
space group = F-43m, No. 216